Material: In2SiHg
Method: DFT, PBE-GGA
State: relaxed

Structure (POSCAR):
```
In2SiHg
1.0
5.2707 0.0000 0.0000
0.0000 5.2707 0.0000
0.0000 0.0000 3.4092
In Si Hg
2 1 1
Direct
0.0000 0.5000 0.0000 In
0.5000 0.0000 0.0000 In
0.0000 0.0000 0.5000 Si
0.5000 0.5000 0.5000 Hg
```

Output
Energy, Ry per atom: -0.1856
M_tot, μB/f.u.: 0.0